(1)
A relaxed structure of AcLa2Co, computed with PBE.

Cell lengths 7.234, 10.305, 6.703 Å; angles 90.00, 90.00, 90.00 degrees
Space group Pnma (No. 62)
Symmetry-distinct sites (fractional):
Ac (0.052, 0.250, 0.139) x4
La (0.161, 0.075, 0.669) x8
Co (0.105, 0.750, 0.397) x4

## Properties
formation energy: -88 meV/atom
offset from the most stable computed form: 0.0 kJ/mol of atoms

(2)
A relaxed structure of NbBiSe2N, computed with PBE.

Cell lengths 5.462, 5.462, 4.191 Å; angles 90.00, 90.00, 90.00 degrees
Space group P4/mmm (No. 123)
Symmetry-distinct sites (fractional):
Nb (0.000, 0.000, 0.000) x1
Bi (0.500, 0.500, 0.500) x1
Se (0.000, 0.500, 0.500) x2
N (0.500, 0.500, 0.000) x1

## Properties
offset from the most stable computed form: 132.2 kJ/mol of atoms

(3)
A relaxed structure of KMnBe2, computed with PBE.

Cell lengths 2.921, 2.921, 7.260 Å; angles 90.00, 90.00, 90.00 degrees
Space group P4/mmm (No. 123)
Symmetry-distinct sites (fractional):
K (0.000, 0.000, 0.000) x1
Mn (0.000, 0.000, 0.500) x1
Be (0.500, 0.500, 0.359) x2

## Properties
formation energy: 513 meV/atom
offset from the most stable computed form: 5.4 kJ/mol of atoms